This record from Alexandria describes LiLaMn2 after structural relaxation. The functional is PBE.

Cell: 4.0958 4.0958 16.3621 Å, 90.00 90.00 120.00°
Space group R3m (No. 160, hexagonal axes)
Unique sites:
Li (0.0000, 0.0000, 0.0000) (multiplicity 3)
La (0.0000, 0.0000, 0.7977) (multiplicity 3)
Mn (0.0000, 0.0000, 0.2702) (multiplicity 3)
Mn (0.0000, 0.0000, 0.5933) (multiplicity 3)

Summary:
- D(E_F) (states/eV/atom) = 1.246
- calculated volume (A^3/atom) = 19.809
- electronic total energy (eV per atom) = -6.0150
- excess energy over the best structure of this formula in the dataset (meV/atom) = 8.7
- energy of formation from the pure elements (eV per atom) = 0.28

=====

This record from Alexandria describes NaTcP after structural relaxation. The functional is PBE.

Cell: 3.2899 4.6234 7.4599 Å, 99.25 90.30 98.10°
Space group P-1 (No. 2)
Unique sites:
Na (0.2288, 0.2274, 0.3615) (multiplicity 2)
Tc (0.3198, 0.7553, 0.0172) (multiplicity 2)
P (0.2096, 0.3335, 0.7723) (multiplicity 2)

Summary:
- D(E_F) (states/eV/atom) = 0.178
- calculated volume (A^3/atom) = 18.472
- electronic total energy (eV per atom) = -5.9969
- excess energy over the best structure of this formula in the dataset (meV/atom) = 111.1
- energy of formation from the pure elements (eV per atom) = -0.30